Entry 1:
Density functional theory data (PBE) for an optimized crystal structure of YZnNi2.

Calculated values
ΔH_f (0 K) = -0.26 eV per atom
total energy = -5.082 eV/atom

Lattice parameters (Å, degrees): 3.2456 3.2858 5.9458 90.00 90.00 90.00
Last column: nearest neighbours and their distance in Å.
Space group Pmmm (No. 47)
Asymmetric unit:
Y: 0.0000 0.0000 0.0000  8 Ni 2.90, 2 Zn 2.97, 2 Y 3.25
Zn: 0.0000 0.0000 0.5000  8 Ni 2.61
Ni: 0.5000 0.5000 0.2948  1 Ni 2.44, 4 Zn 2.61

Entry 2:
Density functional theory data (PBE) for an optimized crystal structure of Li2NiAu.

Calculated values
ΔH_f (0 K) = -0.09 eV per atom
total energy = -3.312 eV/atom

Lattice parameters (Å, degrees): 2.7793 2.7793 25.5412 90.00 90.00 120.00
Last column: nearest neighbours and their distance in Å.
Space group R-3m (No. 166, hexagonal axes)
Asymmetric unit:
Li: 0.0000 0.0000 0.2445  3 Ni 2.55, 6 Li 2.78, 3 Au 2.78
Ni: 0.0000 0.0000 0.5000  6 Li 2.55, 6 Ni 2.78
Au: 0.0000 0.0000 0.0000  6 Au 2.78, 6 Li 2.78

Entry 3:
Density functional theory data (PBE) for an optimized crystal structure of Co2SnS2.

Calculated values
uncorrected formation energy = 45 meV/atom
total energy = -5.249 eV/atom

Lattice parameters (Å, degrees): 4.2292 4.2292 8.8243 90.00 90.00 90.00
Last column: nearest neighbours and their distance in Å.
Space group I4/mmm (No. 139)
Asymmetric unit:
Co: 0.0000 0.0000 0.1565  4 S 2.27
Sn: 0.0000 0.0000 0.5000  10 Co 3.03-3.29, 8 S 3.06
S: 0.0000 0.5000 0.2500  4 Co 2.27

Entry 4:
Density functional theory data (PBE) for an optimized crystal structure of AlCo2P.

Calculated values
ΔH_f (0 K) = -0.12 eV per atom
total energy = -5.963 eV/atom

Lattice parameters (Å, degrees): 6.3936 6.3936 5.0984 90.00 90.00 90.00
Last column: nearest neighbours and their distance in Å.
Space group I-42d (No. 122)
Asymmetric unit:
Al: 0.0000 0.0000 0.0000  2 P 2.55, 8 Co 2.66-2.75
Co: 0.1824 0.2500 0.6250  2 P 2.08
P: 0.0000 0.0000 0.5000  4 Co 2.08

Entry 5:
Density functional theory data (PBE) for an optimized crystal structure of ReMo2Ir.

Calculated values
ΔH_f (0 K) = -0.05 eV per atom
total energy = -10.794 eV/atom

Lattice parameters (Å, degrees): 3.9300 3.9300 7.9100 90.00 90.00 90.00
Last column: nearest neighbours and their distance in Å.
Space group I4/mmm (No. 139)
Asymmetric unit:
Re: 0.0000 0.0000 0.0000  4 Ir 2.78, 8 Mo 2.79
Mo: 0.0000 0.5000 0.2500  4 Mo 2.78, 4 Re 2.79, 4 Ir 2.79
Ir: 0.0000 0.0000 0.5000  4 Re 2.78, 8 Mo 2.79

Entry 6:
Density functional theory data (PBE) for an optimized crystal structure of FeTcPb2.

Calculated values
ΔH_f (0 K) = 0.77 eV per atom
total energy = -5.789 eV/atom

Lattice parameters (Å, degrees): 4.6300 3.3279 5.5995 90.00 113.63 90.00
Last column: nearest neighbours and their distance in Å.
Space group P2/m (No. 10)
Asymmetric unit:
Fe: 0.0000 0.0000 0.0000  6 Pb 2.83-2.85
Tc: 0.0000 0.5000 0.5000  6 Pb 2.83-2.85
Pb: 0.5000 0.0000 0.5000  2 Fe 2.83, 4 Tc 2.85
Pb: 0.5000 0.5000 0.0000  2 Tc 2.83, 4 Fe 2.85

no.,calculated density (g cm⁻³),V (Å³ per atom),DOS(E_F) (states/eV per cell)
1,7.12,15.85,2.1
2,7.86,14.24,9.3
3,6.33,15.78,7.0
4,5.60,13.03,2.8
5,15.50,15.27,9.1
6,11.94,19.76,3.8